Computed, not measured: an optimized crystal structure of LaZnCdAu2 at the PBE level of DFT.

```
data_LaZnCdAu2
_cell_length_a 4.175
_cell_length_b 4.175
_cell_length_c 12.997
_cell_angle_alpha 90.00
_cell_angle_beta 90.00
_cell_angle_gamma 90.00
_symmetry_space_group_name_H-M 'I -4 m 2'
_symmetry_Int_Tables_number 119
_symmetry_space_group_name_Hall 'I -4 -2'
loop_
_atom_site_label
_atom_site_type_symbol
_atom_site_fract_x
_atom_site_fract_y
_atom_site_fract_z
La1 La 0.000 0.000 0.000
Zn1 Zn 0.000 0.500 0.250
Cd1 Cd 0.000 0.500 0.750
Au1 Au 0.000 0.000 0.393
```

The total energy is -32.690 eV for the cell shown. As for the formation energy: -546 meV/atom. As for the volume: 227 Å³/cell. As for the crystal system: tetragonal.